# 1
Density functional theory data (PBE) for a geometry-optimized AlPO4 structure.

Lattice parameters (Å, degrees): 9.3386 6.2012 7.6059 77.70 73.88 64.51
Closest atoms and distances in Å follow each position.
Positions (direct):
O  0.5733  0.2555  0.0950  1 P 1.51
O  0.6499  0.9108  0.7329  1 P 1.60
O  0.1542  0.7917  0.8614  1 P 1.51
P  0.3431  0.8566  0.4041  4 O 1.51-1.60
P  0.2599  0.7494  0.9934  4 O 1.51-1.59
P  0.6569  0.1434  0.5959  4 O 1.51-1.60
Al  0.2105  0.2583  0.1058  5 O 1.77-1.98
Al  0.7895  0.7417  0.8942  5 O 1.77-1.98
O  0.0107  0.3443  0.2679  1 P 1.61
O  0.1739  0.9633  0.1202  1 P 1.59
O  0.9893  0.6557  0.7321  1 P 1.61
O  0.7497  0.5942  0.4781  1 P 1.51
O  0.8261  0.0367  0.8798  1 P 1.59
P  0.8694  0.6079  0.2997  4 O 1.51-1.61
Al  0.9775  0.0383  0.2979  5 O 1.80-2.01
P  0.7401  0.2506  0.0066  4 O 1.51-1.59
O  0.0393  0.2416  0.6977  1 P 1.52
O  0.9607  0.7584  0.3023  1 P 1.52
O  0.2124  0.3102  0.8670  1 P 1.54
O  0.8447  0.0919  0.5290  1 P 1.59
Al  0.4193  0.3434  0.3115  5 O 1.84-2.06
O  0.4267  0.7445  0.9050  1 P 1.51
O  0.4173  0.8435  0.5609  1 P 1.51
O  0.7876  0.6898  0.1330  1 P 1.54
O  0.2503  0.4058  0.5219  1 P 1.51
O  0.5827  0.1565  0.4391  1 P 1.51
O  0.8458  0.2083  0.1386  1 P 1.51
O  0.5698  0.3638  0.6999  1 P 1.52
O  0.4302  0.6362  0.3001  1 P 1.52
O  0.3501  0.0892  0.2671  1 P 1.60
O  0.2674  0.5085  0.1221  1 P 1.59
Al  0.5807  0.6566  0.6885  5 O 1.84-2.06
O  0.1553  0.9081  0.4710  1 P 1.59
O  0.7326  0.4915  0.8779  1 P 1.59
Al  0.0225  0.9617  0.7021  5 O 1.80-2.01
P  0.1306  0.3921  0.7003  4 O 1.51-1.61

Symmetry   P-1

# 2
Density functional theory data (PBE) for a geometry-optimized Al3PO structure.

Lattice parameters (Å, degrees): 4.6660 4.6660 4.6660 90.00 90.00 90.00
Closest atoms and distances in Å follow each position.
Positions (direct):
Al  0.0000  0.5000  0.0000  2 P 2.33
P  0.0000  0.0000  0.0000  6 Al 2.33
Al  0.0000  0.0000  0.5000  2 P 2.33
O  0.5000  0.5000  0.5000  12 Al 3.30
Al  0.5000  0.0000  0.0000  2 P 2.33

Symmetry   Pm-3m

# 3
Density functional theory data (PBE) for a geometry-optimized Al2PO7 structure.

Lattice parameters (Å, degrees): 7.8846 7.8846 5.2055 69.62 69.62 63.54
Closest atoms and distances in Å follow each position.
Positions (direct):
O  0.7125  0.0393  0.3139  2 Al 1.77-1.83
O  0.0633  0.0633  0.0711  2 Al 2.05, 3 O 2.11-2.28
O  0.7141  0.4119  0.1579  1 P 1.53
O  0.9607  0.2875  0.6861  2 Al 1.77-1.83
Al  0.2111  0.7889  0.0000  4 O 1.81-1.83
O  0.2859  0.5881  0.8421  1 P 1.53
O  0.0393  0.7125  0.3139  2 Al 1.77-1.83
O  0.3216  0.3216  0.6532  1 P 1.54
Al  0.7849  0.7849  0.4593  4 O 1.74-1.77
P  0.6335  0.6335  0.1183  4 O 1.53-1.54
O  0.7307  0.7307  0.8263  1 P 1.54
O  0.2693  0.2693  0.1737  1 P 1.54
O  0.9367  0.9367  0.9289  2 Al 2.05, 3 O 2.11-2.28
O  0.5881  0.2859  0.8421  1 P 1.53
O  0.4119  0.7141  0.1579  1 P 1.53
P  0.3665  0.3665  0.8817  4 O 1.53-1.54
O  0.2875  0.9607  0.6861  2 Al 1.77-1.83
O  0.6784  0.6784  0.3468  1 P 1.54
Al  0.7889  0.2111  0.0000  4 O 1.81-1.83
Al  0.2151  0.2151  0.5407  4 O 1.74-1.77

Symmetry   C2/m

# 4
Density functional theory data (PBE) for a geometry-optimized AlPO4 structure.

Lattice parameters (Å, degrees): 8.9302 8.9302 9.7928 90.00 90.00 121.67
Closest atoms and distances in Å follow each position.
Positions (direct):
O  0.4985  0.9985  0.9859  1 P 1.53
O  0.0846  0.3999  0.7668  1 P 1.53
O  0.8781  0.6262  0.5162  1 P 1.54
O  0.6262  0.8781  0.4838  1 P 1.54
O  0.9131  0.5745  0.2332  1 P 1.53
O  0.4131  0.0745  0.7668  1 P 1.53
O  0.9985  0.4985  0.0141  1 P 1.53
O  0.5846  0.8999  0.2332  1 P 1.53
O  0.3781  0.1262  0.4838  1 P 1.54
P  0.5921  0.7846  0.3449  4 O 1.53-1.54
O  0.5745  0.9131  0.7668  1 P 1.53
Al  0.7164  0.9095  0.6480  4 O 1.73-1.75
Al  0.4095  0.2164  0.6480  4 O 1.73-1.75
O  0.1087  0.9166  0.3504  1 P 1.53
O  0.0745  0.4131  0.2332  1 P 1.53
O  0.6087  0.4166  0.6496  1 P 1.53
O  0.8999  0.5846  0.7668  1 P 1.53
P  0.4366  0.9366  0.8401  4 O 1.53
P  0.0921  0.2846  0.6551  4 O 1.53-1.54
O  0.7398  0.7511  0.3102  1 P 1.54
P  0.2846  0.0921  0.3449  4 O 1.53-1.54
O  0.2611  0.7611  0.8421  1 P 1.53
O  0.4166  0.6087  0.3504  1 P 1.53
O  0.9166  0.1087  0.6496  1 P 1.53
Al  0.0615  0.5615  0.8461  4 O 1.73-1.74
O  0.7611  0.2611  0.1579  1 P 1.53
O  0.3999  0.0846  0.2332  1 P 1.53
O  0.2398  0.2511  0.6898  1 P 1.54
O  0.7511  0.7398  0.6898  1 P 1.54
Al  0.9095  0.7164  0.3520  4 O 1.73-1.75
O  0.2511  0.2398  0.3102  1 P 1.54
O  0.1262  0.3781  0.5162  1 P 1.54
Al  0.5615  0.0615  0.1539  4 O 1.73-1.74
P  0.7846  0.5921  0.6551  4 O 1.53-1.54
P  0.9366  0.4366  0.1599  4 O 1.53
Al  0.2164  0.4095  0.3520  4 O 1.73-1.75

Symmetry   Aem2

How do the records compare in calculated volume? In the order shown, they have 379.7, 101.6, 264.3, 664.7 Å³/cell.
How do the records compare in total DFT energy (no corrections)? In the order shown, they have -7.403, -3.650, -6.723, -7.475 eV per atom.